Below is an optimized crystal structure of SrSmPt10, with properties calculated at the PBE-GGA level.

```
data_SrSmPt10
_chemical_formula_sum 'Sr1 Sm1 Pt10'
_space_group_name_H-M_alt 'P m m m'
_space_group_IT_number 47
_space_group_name_Hall '-P 2 2'
_cell_length_a 4.4200
_cell_length_b 5.4627
_cell_length_c 9.4003
_cell_angle_alpha 90.00
_cell_angle_beta 90.00
_cell_angle_gamma 90.00
loop_
_atom_site_label
_atom_site_type_symbol
_atom_site_fract_x
_atom_site_fract_y
_atom_site_fract_z
_atom_site_occupancy
Sr1 Sr 0.0000 0.0000 0.0000 1
Sm1 Sm 0.0000 0.5000 0.5000 1
Pt1 Pt 0.0000 0.0000 0.3370 1
Pt2 Pt 0.0000 0.5000 0.1711 1
Pt3 Pt 0.5000 0.0000 0.5000 1
Pt4 Pt 0.5000 0.2523 0.2541 1
Pt5 Pt 0.5000 0.5000 0.0000 1
```

## Properties
M_tot   0.00 μB/cell
VASP energy   -6.20 eV per atom
Formation enthalpy at 0 K   -7.62 eV/f.u.
N(E_F)   0.581 states/eV per atom

---

Below is an optimized crystal structure of SrSm2Pt, with properties calculated at the PBE-GGA level.

```
data_SrSm2Pt
_chemical_formula_sum 'Sr3 Sm6 Pt3'
_space_group_name_H-M_alt 'R 3 m'
_space_group_IT_number 160
_space_group_name_Hall 'R 3 -2"'
_cell_length_a 4.2578
_cell_length_b 4.2578
_cell_length_c 28.5018
_cell_angle_alpha 90.00
_cell_angle_beta 90.00
_cell_angle_gamma 120.00
loop_
_atom_site_label
_atom_site_type_symbol
_atom_site_fract_x
_atom_site_fract_y
_atom_site_fract_z
_atom_site_occupancy
Sr1 Sr 0.0000 0.0000 0.0000 1
Sm1 Sm 0.0000 0.0000 0.5496 1
Sm2 Sm 0.0000 0.0000 0.7803 1
Pt1 Pt 0.0000 0.0000 0.1650 1
```

## Properties
M_tot   0.00 μB/cell
VASP energy   -4.83 eV per atom
Formation enthalpy at 0 K   -2.15 eV/f.u.
ΔE to the lowest computed polymorph   0.0000 eV/atom
N(E_F)   0.857 states/eV per atom

---

Below is an optimized crystal structure of SrSmTlPt, with properties calculated at the PBE-GGA level.

```
data_SrSmTlPt
_chemical_formula_sum 'Sr4 Sm4 Tl4 Pt4'
_space_group_name_H-M_alt 'F -4 3 m'
_space_group_IT_number 216
_space_group_name_Hall 'F -4 2 3'
_cell_length_a 7.5598
_cell_length_b 7.5598
_cell_length_c 7.5598
_cell_angle_alpha 90.00
_cell_angle_beta 90.00
_cell_angle_gamma 90.00
loop_
_atom_site_label
_atom_site_type_symbol
_atom_site_fract_x
_atom_site_fract_y
_atom_site_fract_z
_atom_site_occupancy
Sr1 Sr 0.0000 0.0000 0.0000 1
Sm1 Sm 0.0000 0.0000 0.5000 1
Tl1 Tl 0.2500 0.2500 0.2500 1
Pt1 Pt 0.2500 0.2500 0.7500 1
```

## Properties
M_tot   0.00 μB/cell
VASP energy   -4.24 eV per atom
Formation enthalpy at 0 K   -2.14 eV/f.u.
N(E_F)   0.637 states/eV per atom

---

Below is an optimized crystal structure of Sr3Sm2Zn2Pt4, with properties calculated at the PBE-GGA level.

```
data_Sr3Sm2Zn2Pt4
_chemical_formula_sum 'Sr3 Sm2 Zn2 Pt4'
_space_group_name_H-M_alt 'P -3 m 1'
_space_group_IT_number 164
_space_group_name_Hall '-P 3 2"'
_cell_length_a 4.5599
_cell_length_b 4.5599
_cell_length_c 16.3210
_cell_angle_alpha 90.00
_cell_angle_beta 90.00
_cell_angle_gamma 120.00
loop_
_atom_site_label
_atom_site_type_symbol
_atom_site_fract_x
_atom_site_fract_y
_atom_site_fract_z
_atom_site_occupancy
Sr1 Sr 0.0000 0.0000 0.0000 1
Sr2 Sr 0.0000 0.0000 0.2501 1
Sm1 Sm 0.3333 0.6667 0.5690 1
Zn1 Zn 0.3333 0.6667 0.1265 1
Pt1 Pt 0.3333 0.6667 0.3756 1
Pt2 Pt 0.3333 0.6667 0.8740 1
```

## Properties
M_tot   0.00 μB/cell
VASP energy   -4.50 eV per atom
Formation enthalpy at 0 K   -8.36 eV/f.u.
N(E_F)   0.304 states/eV per atom

---

Below is an optimized crystal structure of SrSmZn2Pt2, with properties calculated at the PBE-GGA level.

```
data_SrSmZn2Pt2
_chemical_formula_sum 'Sr1 Sm1 Zn2 Pt2'
_space_group_name_H-M_alt 'P -3 m 1'
_space_group_IT_number 164
_space_group_name_Hall '-P 3 2"'
_cell_length_a 4.4340
_cell_length_b 4.4340
_cell_length_c 8.0102
_cell_angle_alpha 90.00
_cell_angle_beta 90.00
_cell_angle_gamma 120.00
loop_
_atom_site_label
_atom_site_type_symbol
_atom_site_fract_x
_atom_site_fract_y
_atom_site_fract_z
_atom_site_occupancy
Sr1 Sr 0.0000 0.0000 0.0000 1
Sm1 Sm 0.0000 0.0000 0.5000 1
Zn1 Zn 0.3333 0.6667 0.7285 1
Pt1 Pt 0.3333 0.6667 0.2824 1
```

## Properties
M_tot   0.00 μB/cell
VASP energy   -4.31 eV per atom
Formation enthalpy at 0 K   -4.82 eV/f.u.
N(E_F)   0.790 states/eV per atom

---

Below is an optimized crystal structure of Sr2SmZn3Pt4, with properties calculated at the PBE-GGA level.

```
data_Sr2SmZn3Pt4
_chemical_formula_sum 'Sr2 Sm1 Zn3 Pt4'
_space_group_name_H-M_alt 'P -4 m 2'
_space_group_IT_number 115
_space_group_name_Hall 'P -4 -2'
_cell_length_a 4.3537
_cell_length_b 4.3537
_cell_length_c 11.5323
_cell_angle_alpha 90.00
_cell_angle_beta 90.00
_cell_angle_gamma 90.00
loop_
_atom_site_label
_atom_site_type_symbol
_atom_site_fract_x
_atom_site_fract_y
_atom_site_fract_z
_atom_site_occupancy
Sr1 Sr 0.0000 0.5000 0.2215 1
Sm1 Sm 0.0000 0.0000 0.5000 1
Zn1 Zn 0.0000 0.5000 0.8799 1
Zn2 Zn 0.5000 0.5000 0.5000 1
Pt1 Pt 0.0000 0.0000 0.0000 1
Pt2 Pt 0.0000 0.5000 0.6563 1
Pt3 Pt 0.5000 0.5000 0.0000 1
```

## Properties
M_tot   0.00 μB/cell
VASP energy   -4.34 eV per atom
Formation enthalpy at 0 K   -7.35 eV/f.u.
N(E_F)   0.383 states/eV per atom

---

Below is an optimized crystal structure of TbSmPt2, with properties calculated at the PBE-GGA level.

```
data_TbSmPt2
_chemical_formula_sum 'Tb2 Sm2 Pt4'
_space_group_name_H-M_alt 'A m m 2'
_space_group_IT_number 38
_space_group_name_Hall 'A 2 -2'
_cell_length_a 4.5029
_cell_length_b 3.8368
_cell_length_c 10.6873
_cell_angle_alpha 90.00
_cell_angle_beta 90.00
_cell_angle_gamma 90.00
loop_
_atom_site_label
_atom_site_type_symbol
_atom_site_fract_x
_atom_site_fract_y
_atom_site_fract_z
_atom_site_occupancy
Tb1 Tb 0.0000 0.0000 0.0000 1
Sm1 Sm 0.5000 0.0000 0.7246 1
Pt1 Pt 0.0000 0.0000 0.2755 1
Pt2 Pt 0.5000 0.0000 0.4513 1
```

## Properties
M_tot   0.00 μB/cell
VASP energy   -6.59 eV per atom
Formation enthalpy at 0 K   -4.93 eV/f.u.
ΔE to the lowest computed polymorph   0.0000 eV/atom
N(E_F)   0.639 states/eV per atom

---

Below is an optimized crystal structure of Tb2SmPt, with properties calculated at the PBE-GGA level.

```
data_Tb2SmPt
_chemical_formula_sum 'Tb6 Sm3 Pt3'
_space_group_name_H-M_alt 'R -3 m'
_space_group_IT_number 166
_space_group_name_Hall '-R 3 2"'
_cell_length_a 3.8274
_cell_length_b 3.8274
_cell_length_c 28.6787
_cell_angle_alpha 90.00
_cell_angle_beta 90.00
_cell_angle_gamma 120.00
loop_
_atom_site_label
_atom_site_type_symbol
_atom_site_fract_x
_atom_site_fract_y
_atom_site_fract_z
_atom_site_occupancy
Tb1 Tb 0.0000 0.0000 0.2281 1
Sm1 Sm 0.0000 0.0000 0.0000 1
Pt1 Pt 0.0000 0.0000 0.5000 1
```

## Properties
M_tot   0.00 μB/cell
VASP energy   -5.50 eV per atom
Formation enthalpy at 0 K   -1.99 eV/f.u.
ΔE to the lowest computed polymorph   0.1914 eV/atom
N(E_F)   1.146 states/eV per atom

---

Below is an optimized crystal structure of TbSmPt2, with properties calculated at the PBE-GGA level.

```
data_TbSmPt2
_chemical_formula_sum 'Tb1 Sm1 Pt2'
_space_group_name_H-M_alt 'P 4/m m m'
_space_group_IT_number 123
_space_group_name_Hall '-P 4 2'
_cell_length_a 5.0379
_cell_length_b 5.0379
_cell_length_c 3.4903
_cell_angle_alpha 90.00
_cell_angle_beta 90.00
_cell_angle_gamma 90.00
loop_
_atom_site_label
_atom_site_type_symbol
_atom_site_fract_x
_atom_site_fract_y
_atom_site_fract_z
_atom_site_occupancy
Tb1 Tb 0.0000 0.0000 0.0000 1
Sm1 Sm 0.5000 0.5000 0.0000 1
Pt1 Pt 0.0000 0.5000 0.5000 1
```

## Properties
M_tot   0.00 μB/cell
VASP energy   -6.51 eV per atom
Formation enthalpy at 0 K   -4.60 eV/f.u.
ΔE to the lowest computed polymorph   0.0823 eV/atom
N(E_F)   0.689 states/eV per atom

---

Below is an optimized crystal structure of Tb3SmPt2, with properties calculated at the PBE-GGA level.

```
data_Tb3SmPt2
_chemical_formula_sum 'Tb6 Sm2 Pt4'
_space_group_name_H-M_alt 'P m c 21'
_space_group_IT_number 26
_space_group_name_Hall 'P 2c -2'
_cell_length_a 4.8067
_cell_length_b 8.8831
_cell_length_c 7.2207
_cell_angle_alpha 90.00
_cell_angle_beta 90.00
_cell_angle_gamma 90.00
loop_
_atom_site_label
_atom_site_type_symbol
_atom_site_fract_x
_atom_site_fract_y
_atom_site_fract_z
_atom_site_occupancy
Tb1 Tb 0.0000 0.0814 0.0000 1
Tb2 Tb 0.0000 0.3303 0.3649 1
Tb3 Tb 0.5000 0.1662 0.6527 1
Sm1 Sm 0.5000 0.4184 0.0169 1
Pt1 Pt 0.0000 0.3387 0.7645 1
Pt2 Pt 0.5000 0.1568 0.2521 1
```

## Properties
M_tot   0.00 μB/cell
VASP energy   -6.03 eV per atom
Formation enthalpy at 0 K   -5.51 eV/f.u.
ΔE to the lowest computed polymorph   0.0000 eV/atom
N(E_F)   1.022 states/eV per atom

---

Below is an optimized crystal structure of Tb3SmPt2, with properties calculated at the PBE-GGA level.

```
data_Tb3SmPt2
_chemical_formula_sum 'Tb12 Sm4 Pt8'
_space_group_name_H-M_alt 'C 1 2/m 1'
_space_group_IT_number 12
_space_group_name_Hall '-C 2y'
_cell_length_a 16.1240
_cell_length_b 4.5395
_cell_length_c 10.1450
_cell_angle_alpha 90.00
_cell_angle_beta 111.94
_cell_angle_gamma 90.00
loop_
_atom_site_label
_atom_site_type_symbol
_atom_site_fract_x
_atom_site_fract_y
_atom_site_fract_z
_atom_site_occupancy
Tb1 Tb 0.0686 0.0000 0.1704 1
Tb2 Tb 0.1743 0.0000 0.5363 1
Tb3 Tb 0.2014 0.5000 0.0861 1
Sm1 Sm 0.0590 0.5000 0.7033 1
Pt1 Pt 0.1204 0.0000 0.9066 1
Pt2 Pt 0.1335 0.5000 0.3479 1
```

## Properties
M_tot   0.00 μB/cell
VASP energy   -5.93 eV per atom
Formation enthalpy at 0 K   -4.88 eV/f.u.
ΔE to the lowest computed polymorph   0.1056 eV/atom
N(E_F)   0.810 states/eV per atom

---

Below is an optimized crystal structure of TbSmPt2, with properties calculated at the PBE-GGA level.

```
data_TbSmPt2
_chemical_formula_sum 'Tb3 Sm3 Pt6'
_space_group_name_H-M_alt 'R 3 m'
_space_group_IT_number 160
_space_group_name_Hall 'R 3 -2"'
_cell_length_a 4.0769
_cell_length_b 4.0769
_cell_length_c 20.8279
_cell_angle_alpha 90.00
_cell_angle_beta 90.00
_cell_angle_gamma 120.00
loop_
_atom_site_label
_atom_site_type_symbol
_atom_site_fract_x
_atom_site_fract_y
_atom_site_fract_z
_atom_site_occupancy
Tb1 Tb 0.0000 0.0000 0.0000 1
Sm1 Sm 0.0000 0.0000 0.1725 1
Pt1 Pt 0.0000 0.0000 0.5894 1
Pt2 Pt 0.0000 0.0000 0.7490 1
```

## Properties
M_tot   0.00 μB/cell
VASP energy   -6.42 eV per atom
Formation enthalpy at 0 K   -4.27 eV/f.u.
ΔE to the lowest computed polymorph   0.1640 eV/atom
N(E_F)   0.520 states/eV per atom